BeCrGa2Te | the Alexandria database | GGA-PBE | optimized geometry; electronic total energy = -3.657 eV/atom; D(E_F) = 5.46 states/eV/cell; E_form (uncorrected) = 0.8515 eV per atom
1.0
4.2153 0.0000 0.0000
0.0000 4.2153 0.0000
0.0000 0.0000 5.5666
Be Cr Ga Te
1 1 2 1
Direct
0.0000 0.0000 0.0000
0.5000 0.5000 0.5000
0.0000 0.5000 0.0000
0.5000 0.0000 0.0000
0.0000 0.0000 0.5000